# 1
First-principles (PBE-GGA) data for crystalline HfBRu3 at its relaxed geometry, as listed in Alexandria via LeMat-Bulk.

Calculated values
N(E_F) ... 0.948 states/eV per atom
Total DFT energy (no corrections) ... -9.121 eV per atom
Crystal system ... monoclinic
Space-group type ... C2/c (15)
DFT formation energy ... -0.23 eV per atom
Magnetization ... 0.00 μB per formula unit

Unit cell a=12.5049 b=7.6981 c=7.6981 alpha=80.51 beta=126.64 gamma=53.36
Fractional coordinates of all 20 atoms:
Ru: 0.5209 0.2787 0.6024
Ru: 0.9791 0.1024 0.7787
Ru: 0.4791 0.7213 0.3976
Ru: 0.0209 0.8976 0.2213
Ru: 0.9933 0.3275 0.0551
Ru: 0.5067 0.5551 0.8275
Ru: 0.0067 0.6725 0.9449
Ru: 0.4933 0.4449 0.1725
Ru: 0.9892 0.5773 0.3042
Ru: 0.5108 0.8042 0.0773
Ru: 0.0108 0.4227 0.6958
Ru: 0.4892 0.1958 0.9227
B: 0.7500 0.1842 0.6842
B: 0.2500 0.8158 0.3158
B: 0.7500 0.4212 0.9212
B: 0.2500 0.5788 0.0788
Hf: 0.4631 0.9855 0.6681
Hf: 0.0369 0.1681 0.4855
Hf: 0.5369 0.0145 0.3319
Hf: 0.9631 0.8319 0.5145



# 2
First-principles (PBE-GGA) data for crystalline HfBRu3 at its relaxed geometry, as listed in Alexandria via LeMat-Bulk.

Calculated values
N(E_F) ... 1.249 states/eV per atom
Total DFT energy (no corrections) ... -8.823 eV per atom
Crystal system ... hexagonal
Space-group type ... P6_3/mmc (194)
DFT formation energy ... 0.07 eV per atom
Magnetization ... 0.00 μB per formula unit

Unit cell a=4.3359 b=4.3359 c=8.5332 alpha=90.00 beta=90.00 gamma=120.00
Fractional coordinates of all 10 atoms:
Ru: 0.0000 0.0000 0.2500
Ru: 0.0000 0.0000 0.7500
Ru: 0.3333 0.6667 0.0874
Ru: 0.3333 0.6667 0.4126
Ru: 0.6667 0.3333 0.5874
Ru: 0.6667 0.3333 0.9126
B: 0.0000 0.0000 0.0000
B: 0.0000 0.0000 0.5000
Hf: 0.3333 0.6667 0.7500
Hf: 0.6667 0.3333 0.2500



# 3
First-principles (PBE-GGA) data for crystalline HfBRu3 at its relaxed geometry, as listed in Alexandria via LeMat-Bulk.

Calculated values
N(E_F) ... 0.663 states/eV per atom
Total DFT energy (no corrections) ... -8.956 eV per atom
Crystal system ... monoclinic
Space-group type ... C2/m (12)
DFT formation energy ... -0.06 eV per atom
Magnetization ... 0.00 μB per formula unit

Unit cell a=11.6473 b=5.2993 c=5.2993 alpha=132.32 beta=136.39 gamma=43.61
Fractional coordinates of all 10 atoms:
Ru: 0.8436 0.2031 0.7969
Ru: 0.1564 0.7969 0.2031
Ru: 0.9270 0.4025 0.5975
Ru: 0.0730 0.5975 0.4025
Ru: 0.4350 0.6962 0.3038
Ru: 0.5650 0.3038 0.6962
B: 0.8689 0.9570 0.0430
B: 0.1311 0.0430 0.9570
Hf: 0.6668 0.9445 0.0555
Hf: 0.3332 0.0555 0.9445



# 4
First-principles (PBE-GGA) data for crystalline HfBRu3 at its relaxed geometry, as listed in Alexandria via LeMat-Bulk.

Calculated values
N(E_F) ... 0.824 states/eV per atom
Total DFT energy (no corrections) ... -9.244 eV per atom
Crystal system ... triclinic
Space-group type ... P1 (1)
DFT formation energy ... -0.35 eV per atom
Magnetization ... 0.00 μB per formula unit

Unit cell a=5.5581 b=5.5603 c=4.5689 alpha=99.33 beta=89.34 gamma=94.44
Fractional coordinates of all 10 atoms:
Ru: 0.2323 0.3176 0.4166
Ru: 0.7627 0.8495 0.3786
Ru: 0.2402 0.8428 0.3224
Ru: 0.0287 0.6431 0.8040
Ru: 0.7134 0.3199 0.4405
Ru: 0.4626 0.9983 0.8734
B: 0.4638 0.6532 0.5330
B: 0.9738 0.5371 0.2345
Hf: 0.5277 0.5024 0.9818
Hf: 0.9752 0.1337 0.8844



| no. | ρ (g/cm3) |
| --- | --- |
| 1 | 11.67 |
| 2 | 11.77 |
| 3 | 11.07 |
| 4 | 11.77 |